No. 1
RuPb5: relaxed, GGA-PBE.

a = 7.182 Å, b = 7.182 Å, c = 5.027 Å
α = 90.00°, β = 90.00°, γ = 140.89°
Positions (direct):
Ru 0.500 0.500 0.000
Pb 0.348 0.652 0.500
Pb 0.142 0.858 0.000
Pb 0.000 0.000 0.500
Pb 0.858 0.142 0.000
Pb 0.652 0.348 0.500

Results
- Energy: -4.299 eV/atom
- Space-group type: Cmmm
- Energy of formation: 2.0 eV per formula unit
- Energy above the lowest structure with this stoichiometry: 147 meV/atom

No. 2
Ru8Pb: relaxed, GGA-PBE.

a = 6.190 Å, b = 6.190 Å, c = 6.190 Å
α = 95.70°, β = 95.70°, γ = 143.26°
Positions (direct):
Ru 0.320 0.680 0.000
Ru 0.680 0.320 0.000
Ru 0.000 0.346 0.346
Ru 0.680 0.680 0.359
Ru 0.346 0.000 0.346
Ru 0.320 0.320 0.641
Ru 0.000 0.654 0.654
Ru 0.654 0.000 0.654
Pb 0.000 0.000 0.000

Results
- Energy: -8.446 eV/atom
- Space-group type: I4/mmm
- Energy of formation: 1.9 eV per formula unit

No. 3
RuPb: relaxed, GGA-PBE.

a = 5.493 Å, b = 5.493 Å, c = 5.497 Å
α = 90.00°, β = 90.00°, γ = 90.00°
Positions (direct):
Ru 0.277 0.723 0.000
Ru 0.777 0.777 0.500
Ru 0.223 0.223 0.500
Ru 0.723 0.277 0.000
Pb 0.226 0.226 0.000
Pb 0.726 0.274 0.500
Pb 0.274 0.726 0.500
Pb 0.774 0.774 0.000

Results
- Energy: -5.729 eV/atom
- Space-group type: P4_2/mnm
- Energy of formation: 1.5 eV per formula unit